# CrCdIO2

A relaxed structure of CrCdIO2 (PBE with a Hubbard U, Alexandria via LeMat-Bulk).

- Relative energy among the computed polymorphs: 0.0 kJ/mol of atoms

Cell lengths 3.9519, 3.9519, 6.4686 Å; angles 90.00, 90.00, 90.00 degrees
Closest atoms and distances in Å follow each position.
Fractional coordinates of all 5 atoms:
Cr 0.0000 0.0000 0.0000  4 O 1.98
Cd 0.5000 0.5000 0.5000  4 I 2.79
I 0.0000 0.0000 0.5000  4 Cd 2.79
O 0.0000 0.5000 0.0000  2 Cr 1.98
O 0.5000 0.0000 0.0000  2 Cr 1.98